Density functional theory data (meta-GGA SCAN) for CuRePb2 at its PBEsol-relaxed geometry.

a b c (Å): 3.5589 4.2370 5.4363
angles (deg): 90.00 109.11 90.00
Fractional coordinates of all 4 atoms:
1 Cu 0.5491 0.5000 0.0982
2 Re 0.6921 0.0000 0.3843
3 Pb 0.9744 0.0000 0.9487
4 Pb 0.2714 0.5000 0.5428

**Energy of formation from the pure elements**: 0.67 eV per atom
**E above lowest polymorph**: 0.0000 eV per atom
**Total DFT energy (no corrections)**: -58.79 eV per atom

---

Density functional theory data (meta-GGA SCAN) for ScICl3 at its PBEsol-relaxed geometry.

a b c (Å): 5.5389 5.5389 5.5389
angles (deg): 90.00 90.00 90.00
Fractional coordinates of all 5 atoms:
1 Cl 0.0000 0.0000 0.5000
2 Cl 0.0000 0.5000 0.0000
3 Cl 0.5000 0.0000 0.0000
4 I 0.0000 0.0000 0.0000
5 Sc 0.5000 0.5000 0.5000

**E above lowest polymorph**: 1.5737 eV per atom
**Total DFT energy (no corrections)**: -14.86 eV per atom
**Formation energy without anion corrections**: 118 meV per atom

---

Density functional theory data (meta-GGA SCAN) for Te2IrIF at its PBEsol-relaxed geometry.

a b c (Å): 5.0800 5.0800 5.4804
angles (deg): 90.00 90.00 90.00
Fractional coordinates of all 5 atoms:
1 F 0.5000 0.5000 0.5000
2 Te 0.5000 0.0000 0.0000
3 Te 0.0000 0.5000 0.0000
4 Ir 0.0000 0.0000 0.0000
5 I 0.0000 0.0000 0.5000

**Total DFT energy (no corrections)**: -36.87 eV per atom
**Formation energy without anion corrections**: 306 meV per atom

---

Density functional theory data (meta-GGA SCAN) for In2AgMo at its PBEsol-relaxed geometry.

a b c (Å): 4.6892 4.6892 4.6892
angles (deg): 60.00 60.00 60.00
Fractional coordinates of all 4 atoms:
1 Ag 0.0000 0.0000 0.0000
2 Mo 0.5000 0.5000 0.5000
3 In 0.7500 0.7500 0.7500
4 In 0.2500 0.2500 0.2500

**Energy of formation from the pure elements**: 0.47 eV per atom
**E above lowest polymorph**: 0.1693 eV per atom
**Total DFT energy (no corrections)**: -32.79 eV per atom

---

Density functional theory data (meta-GGA SCAN) for Dy2Ga3Fe14C2 at its PBEsol-relaxed geometry.

a b c (Å): 6.3613 6.3613 6.3983
angles (deg): 83.29 83.29 82.51
Fractional coordinates of all 21 atoms:
1 Dy 0.6527 0.6527 0.6636
2 Dy 0.3473 0.3473 0.3364
3 Fe 0.8469 0.3506 0.3464
4 Fe 0.0913 0.0913 0.0950
5 Fe 0.7022 0.2978 0.0000
6 Fe 0.1531 0.6494 0.6536
7 Fe 0.9087 0.9087 0.9050
8 Fe 0.3461 0.3461 0.8447
9 Fe 0.0030 0.7162 0.2833
10 Fe 0.3506 0.8469 0.3464
11 Fe 0.6539 0.6539 0.1553
12 Fe 0.7162 0.0030 0.2833
13 Fe 0.9970 0.2838 0.7167
14 Fe 0.6494 0.1531 0.6536
15 Fe 0.2838 0.9970 0.7167
16 Fe 0.2978 0.7022 0.0000
17 Ga 0.5000 0.0000 0.0000
18 Ga 0.0000 0.5000 0.0000
19 Ga 0.0000 0.0000 0.5000
20 C 0.5000 0.0000 0.5000
21 C 0.0000 0.5000 0.5000

**Energy of formation from the pure elements**: -0.14 eV per atom
**Total DFT energy (no corrections)**: -20.08 eV per atom

---

Density functional theory data (meta-GGA SCAN) for RbFe2Cl at its PBEsol-relaxed geometry.

a b c (Å): 4.8761 4.8761 4.8761
angles (deg): 60.00 60.00 60.00
Fractional coordinates of all 4 atoms:
1 Fe 0.7500 0.7500 0.7500
2 Fe 0.2500 0.2500 0.2500
3 Cl 0.0000 0.0000 0.0000
4 Rb 0.5000 0.5000 0.5000

**Total DFT energy (no corrections)**: -15.08 eV per atom
**Formation energy without anion corrections**: 1168 meV per atom

---

Density functional theory data (meta-GGA SCAN) for LiSnP3O9 at its PBEsol-relaxed geometry.

a b c (Å): 6.5001 6.5001 9.8719
angles (deg): 90.00 90.00 120.00
Fractional coordinates of all 28 atoms:
1 O 0.2685 0.9709 0.6189
2 O 0.6434 0.5433 0.2500
3 O 0.7024 0.7315 0.6189
4 O 0.4567 0.1002 0.2500
5 O 0.0291 0.7315 0.1189
6 O 0.2685 0.2976 0.1189
7 O 0.2685 0.9709 0.8811
8 O 0.0291 0.2976 0.6189
9 O 0.2685 0.2976 0.3811
10 O 0.7024 0.9709 0.3811
11 O 0.4567 0.3566 0.7500
12 O 0.0291 0.2976 0.8811
13 O 0.7024 0.9709 0.1189
14 O 0.8998 0.5433 0.7500
15 O 0.7024 0.7315 0.8811
16 O 0.8998 0.3566 0.2500
17 O 0.0291 0.7315 0.3811
18 O 0.6434 0.1002 0.7500
19 Li 0.0000 0.0000 0.0000
20 Li 0.0000 0.0000 0.5000
21 P 0.9156 0.3045 0.7500
22 P 0.6955 0.0844 0.2500
23 P 0.3889 0.0844 0.7500
24 P 0.9156 0.6111 0.2500
25 P 0.6955 0.6111 0.7500
26 P 0.3889 0.3045 0.2500
27 Sn 0.3333 0.6667 0.0000
28 Sn 0.3333 0.6667 0.5000

**Total DFT energy (no corrections)**: -11.22 eV per atom
**Formation energy without anion corrections**: -2247 meV per atom

---

Density functional theory data (meta-GGA SCAN) for KZnCr3 at its PBEsol-relaxed geometry.

a b c (Å): 4.1402 4.1402 4.1402
angles (deg): 90.00 90.00 90.00
Fractional coordinates of all 5 atoms:
1 Cr 0.5000 0.0000 0.0000
2 Cr 0.0000 0.0000 0.5000
3 Cr 0.0000 0.5000 0.0000
4 K 0.0000 0.0000 0.0000
5 Zn 0.5000 0.5000 0.5000

**Energy of formation from the pure elements**: 2.79 eV per atom
**Total DFT energy (no corrections)**: -12.61 eV per atom

---

Density functional theory data (meta-GGA SCAN) for CaPPd3 at its PBEsol-relaxed geometry.

a b c (Å): 4.5194 4.5194 4.5194
angles (deg): 90.00 90.00 90.00
Fractional coordinates of all 5 atoms:
1 P 0.0000 0.0000 0.0000
2 Ca 0.5000 0.5000 0.5000
3 Pd 0.0000 0.5000 0.0000
4 Pd 0.0000 0.0000 0.5000
5 Pd 0.5000 0.0000 0.0000

**Energy of formation from the pure elements**: -0.72 eV per atom
**Total DFT energy (no corrections)**: -24.39 eV per atom

---

Density functional theory data (meta-GGA SCAN) for LiMgAs at its PBEsol-relaxed geometry.

a b c (Å): 3.1265 3.1265 6.6469
angles (deg): 90.00 90.00 120.00
Fractional coordinates of all 3 atoms:
1 Li 0.6667 0.3333 0.6953
2 As 0.0000 0.0000 0.9887
3 Mg 0.3333 0.6667 0.3159

**Energy of formation from the pure elements**: -0.20 eV per atom
**Total DFT energy (no corrections)**: -9.38 eV per atom

---

Density functional theory data (meta-GGA SCAN) for Mg30CrNiO32 at its PBEsol-relaxed geometry.

a b c (Å): 8.4953 8.4056 8.4056
angles (deg): 90.00 90.00 90.00
Fractional coordinates of all 64 atoms:
1 O 0.7493 0.5000 0.5000
2 O 0.0000 0.5000 0.7499
3 O 0.7300 0.0000 0.0000
4 O 0.0000 0.2501 0.5000
5 O 0.2517 0.0000 0.5000
6 O 0.5000 0.2491 0.5000
7 O 0.0000 0.0000 0.2535
8 O 0.7483 0.0000 0.5000
9 O 0.2700 0.0000 0.0000
10 O 0.5000 0.7542 0.0000
11 O 0.0000 0.2535 0.0000
12 O 0.7483 0.5000 0.0000
13 O 0.2503 0.7505 0.2495
14 O 0.2503 0.2495 0.7505
15 O 0.7497 0.2495 0.2495
16 O 0.0000 0.7499 0.5000
17 O 0.5000 0.5000 0.2491
18 O 0.5000 0.0000 0.2458
19 O 0.2503 0.7505 0.7505
20 O 0.7497 0.7505 0.2495
21 O 0.2503 0.2495 0.2495
22 O 0.7497 0.2495 0.7505
23 O 0.5000 0.7509 0.5000
24 O 0.2507 0.5000 0.5000
25 O 0.0000 0.5000 0.2501
26 O 0.0000 0.7465 0.0000
27 O 0.5000 0.5000 0.7509
28 O 0.5000 0.2458 0.0000
29 O 0.5000 0.0000 0.7542
30 O 0.7497 0.7505 0.7505
31 O 0.2517 0.5000 0.0000
32 O 0.0000 0.0000 0.7465
33 Mg 0.2467 0.2472 0.0000
34 Mg 0.7508 0.5000 0.2495
35 Mg 0.5000 0.0000 0.5000
36 Mg 0.2467 0.7528 0.0000
37 Mg 0.0000 0.5000 0.5000
38 Mg 0.0000 0.2480 0.7520
39 Mg 0.2467 0.0000 0.2472
40 Mg 0.5000 0.5000 0.5000
41 Mg 0.2492 0.5000 0.2495
42 Mg 0.2492 0.2495 0.5000
43 Mg 0.2492 0.5000 0.7505
44 Mg 0.7533 0.0000 0.7528
45 Mg 0.0000 0.0000 0.5000
46 Mg 0.5000 0.7498 0.2502
47 Mg 0.0000 0.7520 0.7520
48 Mg 0.5000 0.2502 0.7498
49 Mg 0.7533 0.0000 0.2472
50 Mg 0.7508 0.5000 0.7505
51 Mg 0.7508 0.2495 0.5000
52 Mg 0.0000 0.5000 0.0000
53 Mg 0.0000 0.7520 0.2480
54 Mg 0.0000 0.2480 0.2480
55 Mg 0.5000 0.2502 0.2502
56 Mg 0.2492 0.7505 0.5000
57 Mg 0.7533 0.2472 0.0000
58 Mg 0.7533 0.7528 0.0000
59 Mg 0.7508 0.7505 0.5000
60 Mg 0.2467 0.0000 0.7528
61 Mg 0.5000 0.5000 0.0000
62 Mg 0.5000 0.7498 0.7498
63 Ni 0.0000 0.0000 0.0000
64 Cr 0.5000 0.0000 0.0000

**Total DFT energy (no corrections)**: -8.90 eV per atom
**Formation energy without anion corrections**: -2917 meV per atom

---

Density functional theory data (meta-GGA SCAN) for HfTlSi2Ni at its PBEsol-relaxed geometry.

a b c (Å): 4.5404 4.9105 4.9105
angles (deg): 90.00 90.00 90.00
Fractional coordinates of all 5 atoms:
1 Ni 0.5000 0.0000 0.0000
2 Hf 0.5000 0.5000 0.5000
3 Si 0.0000 0.0000 0.5000
4 Si 0.0000 0.5000 0.0000
5 Tl 0.0000 0.0000 0.0000

**Total DFT energy (no corrections)**: -32.75 eV per atom
**Formation energy without anion corrections**: 1501 meV per atom